Material: BaLi2Hg
Method: DFT, PBE
State: optimized geometry

Calculated values
Energy of formation ... -3.13 kcal/mol of atoms
Space-group type ... P4/mmm (123)
Theoretical density ... 5176 kg/m³

Cell and atoms, written as POSCAR:
```
BaLi2Hg
1.0
3.8087 0.0000 0.0000
0.0000 3.8087 0.0000
0.0000 0.0000 7.7802
Ba Li Hg
1 2 1
Direct
0.0000 0.0000 0.0000 Ba
0.5000 0.5000 0.3315 Li
0.5000 0.5000 0.6685 Li
0.0000 0.0000 0.5000 Hg
```